YOsSe after structural relaxation, computed with GGA-PBEsol.

Values from the calculation:
formation energy without anion corrections = -0.09 eV/atom
crystal system = cubic

Cell and atoms, written as CIF:
```
data_YOsSe
_symmetry_space_group_name_H-M 'F -4 3 m'
_symmetry_Int_Tables_number 216
_symmetry_space_group_name_Hall 'F -4 2 3'
_cell_length_a 6.2703
_cell_length_b 6.2703
_cell_length_c 6.2703
_cell_angle_alpha 90.00
_cell_angle_beta 90.00
_cell_angle_gamma 90.00
loop_
_atom_site_label
_atom_site_fract_x
_atom_site_fract_y
_atom_site_fract_z
Y1 0.0000 0.0000 0.0000
Os1 0.2500 0.2500 0.2500
Se1 0.0000 0.0000 0.5000
```